Below is a geometry-optimized Pm3Dy2Ho6Tm structure, with properties calculated at the PBE level.

Results
Theoretical density ... 8.373 g/cm3
Energy ... -0.16896 Ha/atom
Calculated volume ... 31.7 A^3/atom
Energy of formation from the pure elements ... 0.018 eV/atom

Cell: 6.159 6.159 11.758 Å, 94.99 94.99 119.96°
Sites, in units of the cell vectors:
Pm  0.000  0.000  0.000
Pm  0.333  0.667  0.000
Pm  0.667  0.333  0.000
Dy  0.167  0.833  0.500
Dy  0.833  0.167  0.500
Ho  0.085  0.418  0.253
Ho  0.249  0.249  0.747
Ho  0.418  0.085  0.253
Ho  0.582  0.915  0.747
Ho  0.751  0.751  0.253
Ho  0.915  0.582  0.747
Tm  0.500  0.500  0.500